CePa4Se7: optimized geometry, GGA-PBE.

Unit cell a=4.0748 b=4.0748 c=24.0129 alpha=90.00 beta=90.00 gamma=120.00
Site moments in Bohr magnetons follow the coordinates.
Fractional coordinates of all 12 atoms:
1 Pa 0.6667 0.3333 0.0677  0.00
2 Pa 0.3333 0.6667 0.6437  0.54
3 Pa 0.6667 0.3333 0.3563  0.54
4 Pa 0.3333 0.6667 0.9323  0.00
5 Se 0.0000 0.0000 0.7106  -0.02
6 Se 0.6667 0.3333 0.5732  0.00
7 Se 0.3333 0.6667 0.4268  0.00
8 Se 0.3333 0.6667 0.1350  0.00
9 Se 0.0000 0.0000 0.0000  0.00
10 Se 0.6667 0.3333 0.8650  0.00
11 Se 0.0000 0.0000 0.2894  -0.02
12 Ce 0.0000 0.0000 0.5000  -0.26

=====

CePaSe2: optimized geometry, GGA-PBE.

Unit cell a=3.5847 b=3.5847 c=7.2225 alpha=90.00 beta=90.00 gamma=90.00
Site moments in Bohr magnetons follow the coordinates.
Fractional coordinates of all 4 atoms:
1 Pa 0.5000 0.5000 0.0000  1.29
2 Ce 0.5000 0.5000 0.5000  1.18
3 Se 0.0000 0.0000 0.7592  -0.04
4 Se 0.0000 0.0000 0.2408  -0.04

**Polymorph energy (0 for the lowest one)**: 245.1 meV/atom

=====

CePa2Se3: optimized geometry, GGA-PBE.

Unit cell a=4.1061 b=4.1062 c=9.1880 alpha=102.91 beta=102.91 gamma=90.00
Site moments in Bohr magnetons follow the coordinates.
Fractional coordinates of all 6 atoms:
1 Se 0.2671 0.2683 0.5396  -0.01
2 Se 0.9340 0.9360 0.8739  -0.02
3 Se 0.6015 0.6027 0.2084  -0.01
4 Ce 0.4341 0.4360 0.8740  0.62
5 Pa 0.7669 0.7681 0.5392  0.57
6 Pa 0.1017 0.1030 0.2088  0.57

=====

Ce3Pa4Se8: optimized geometry, GGA-PBE.

Unit cell a=8.1527 b=8.1993 c=8.1993 alpha=90.04 beta=119.76 gamma=119.76
Site moments in Bohr magnetons follow the coordinates.
Fractional coordinates of all 15 atoms:
1 Se 0.9954 0.2551 0.2551  -0.02
2 Se 0.5000 0.2485 0.7515  -0.01
3 Se 0.4905 0.7481 0.7481  -0.02
4 Se 0.5000 0.7515 0.2485  -0.01
5 Se 0.0000 0.7439 0.2561  -0.02
6 Se 0.0000 0.2561 0.7439  -0.02
7 Se 0.0046 0.7449 0.7449  -0.02
8 Se 0.5095 0.2519 0.2519  -0.02
9 Ce 0.5000 0.5000 0.0000  0.59
10 Ce 0.5000 0.0000 0.5000  0.59
11 Ce 0.5000 0.5000 0.5000  0.60
12 Pa 0.5000 0.0000 0.0000  0.51
13 Pa 0.0000 0.0000 0.0000  0.88
14 Pa 0.0000 0.5000 0.0000  0.53
15 Pa 0.0000 0.0000 0.5000  0.53

=====

Formation energy without anion corrections, respectively: -16.743, -5.014, -8.362, -22.211 eV per formula unit.
Uncorrected energy, respectively: -7.088, -6.853, -7.290, -7.058 eV per atom.
Density of states at the Fermi level, respectively: 1.367, 2.870, 2.318, 2.074 states/eV per atom.